Computed, not measured: a relaxed YCuI3 crystal at the PBE level of DFT.

The space group is Pm-3m (No. 221) and the conventional cell measures 5.396, 5.396 and 5.396 Å, with angles of 90.00, 90.00 and 90.00 degrees. Symmetry generates all atoms from Y at (0.000, 0.000, 0.000), Cu at (0.500, 0.500, 0.500) and I at (0.000, 0.500, 0.500).

Computed, not measured: a relaxed Y3CuI crystal at the PBE level of DFT.

The space group is Pm-3m (No. 221) and the conventional cell measures 5.399, 5.399 and 5.399 Å, with angles of 90.00, 90.00 and 90.00 degrees. Symmetry generates all atoms from Y at (0.000, 0.000, 0.500), Cu at (0.000, 0.000, 0.000) and I at (0.500, 0.500, 0.500).

Computed, not measured: a relaxed Y2CuI2 crystal at the PBE level of DFT.

The space group is P4/mbm (No. 127) and the conventional cell measures 8.574, 8.574 and 3.729 Å, with angles of 90.00, 90.00 and 90.00 degrees. Symmetry generates all atoms from Y at (0.157, 0.343, 0.000), Cu at (0.000, 0.000, 0.500) and I at (0.140, 0.640, 0.500).

Computed, not measured: a relaxed Y2CuI2 crystal at the PBE level of DFT.

The space group is R-3m (No. 166, hexagonal axes) and the conventional cell measures 4.0649, 4.0649 and 35.1884 Å, with angles of 90.00, 90.00 and 120.00 degrees. Symmetry generates all atoms from Y at (0.0000, 0.0000, 0.1198), Cu at (0.0000, 0.0000, 0.5000) and I at (0.0000, 0.0000, 0.2734).

Computed, not measured: a relaxed YCu3I crystal at the PBE level of DFT.

The space group is Pm-3m (No. 221) and the conventional cell measures 5.284, 5.284 and 5.284 Å, with angles of 90.00, 90.00 and 90.00 degrees. Symmetry generates all atoms from Y at (0.000, 0.000, 0.000), Cu at (0.000, 0.000, 0.500) and I at (0.500, 0.500, 0.500).

Computed, not measured: a relaxed Y7CuI12 crystal at the PBE level of DFT.

The space group is R-3 (No. 148, hexagonal axes) and the conventional cell measures 15.6762, 15.6762 and 10.5338 Å, with angles of 90.00, 90.00 and 120.00 degrees. Symmetry generates all atoms from Y at (0.0000, 0.0000, 0.0000), Y at (0.0442, 0.8860, 0.3510), Cu at (0.0000, 0.0000, 0.5000), I at (0.0207, 0.4355, 0.1611) and I at (0.0521, 0.8677, 0.8401).

| no. | formation energy without anion corrections (eV/atom) | E_tot (eV/cell) |
| --- | --- | --- |
| 1 | -0.163 | -16.02 |
| 2 | -0.052 | -25.30 |
| 3 | -0.174 | -41.99 |
| 4 | -0.806 | -72.47 |
| 5 | 1.041 | -15.10 |
| 6 | -1.163 | -273.61 |